TcAsPd | PBE-GGA | relaxed

Lattice parameters (Å, degrees): 4.121 4.121 4.121 60.00 60.00 60.00
Fractional coordinates of all 3 atoms:
Pd 0.250 0.250 0.250
As 0.000 0.000 0.000
Tc 0.750 0.750 0.750

Its theoretical density is 9.37 g/cm3. The value obtained for the relative energy among the computed polymorphs is 0 meV per atom. The value obtained for the magnetization is 0.15 Bohr magnetons per cell. The symmetry is No. 216.

LaGdAg2Pb2 | PBE-GGA | relaxed

Lattice parameters (Å, degrees): 4.885 4.885 7.667 90.00 90.00 120.00
Fractional coordinates of all 6 atoms:
Pb 0.667 0.333 0.776
Pb 0.333 0.667 0.263
La 0.000 0.000 0.488
Ag 0.333 0.667 0.695
Ag 0.667 0.333 0.173
Gd 0.000 0.000 0.990

Its theoretical density is 9.71 g/cm3. The calculation puts the energy at -4.2436 eV per atom. The value obtained for the magnetization is 0.00 Bohr magnetons per cell. The symmetry is No. 156.

BaPuCl6 | PBE-GGA | relaxed

Lattice parameters (Å, degrees): 6.875 6.875 7.591 63.08 90.00 60.01
Each line ends with the local moment (μB).
Fractional coordinates of all 8 atoms:
Cl 0.402 0.557 0.231  -0.05
Cl 0.958 0.829 0.769  -0.05
Ba 0.500 0.000 0.500  0.00
Cl 0.598 0.443 0.769  -0.05
Cl 0.042 0.171 0.231  -0.05
Cl 0.212 0.189 0.769  -0.05
Pu 0.000 0.000 0.000  4.34
Cl 0.788 0.811 0.231  -0.05

Its theoretical density is 3.72 g/cm3. The calculation puts the energy at -5.3933 eV per atom. The value obtained for the magnetization is 4.00 Bohr magnetons per cell. The symmetry is No. 148.

Li2US3 | PBE-GGA | relaxed

Lattice parameters (Å, degrees): 6.243 6.243 10.392 90.00 90.00 143.28
Each line ends with the local moment (μB).
Fractional coordinates of all 12 atoms:
S 0.362 0.638 0.929  -0.06
Li 0.480 0.520 0.750  0.00
S 0.089 0.911 0.750  -0.04
Li 0.262 0.738 0.250  0.00
U 0.000 0.000 0.500  2.04
U 0.000 0.000 0.000  2.03
S 0.638 0.362 0.071  -0.06
Li 0.738 0.262 0.750  0.00
Li 0.520 0.480 0.250  0.00
S 0.638 0.362 0.429  -0.06
S 0.911 0.089 0.250  -0.04
S 0.362 0.638 0.571  -0.06

Its theoretical density is 4.78 g/cm3. The calculation puts the energy at -5.8535 eV per atom. The value obtained for the magnetization is 4.00 Bohr magnetons per cell. The symmetry is No. 63.

Ba2PrAs2 | PBE-GGA | relaxed

Lattice parameters (Å, degrees): 9.394 9.394 8.713 90.00 90.00 150.92
Each line ends with the local moment (μB).
Fractional coordinates of all 10 atoms:
Pr 0.410 0.590 0.089  0.15
Ba 0.053 0.947 0.225  0.07
As 0.554 0.446 0.922  -0.01
As 0.822 0.178 0.009  -0.01
As 0.446 0.554 0.422  -0.01
Ba 0.947 0.053 0.725  0.07
As 0.178 0.822 0.509  -0.01
Ba 0.204 0.796 0.889  0.04
Ba 0.796 0.204 0.389  0.04
Pr 0.590 0.410 0.589  0.14

Its theoretical density is 5.02 g/cm3. The value obtained for the relative energy among the computed polymorphs is 0 meV per atom. The value obtained for the magnetization is 1.33 Bohr magnetons per cell. The symmetry is No. 36.

Na2TeIr2Se3 | PBE-GGA | relaxed

Lattice parameters (Å, degrees): 6.339 6.339 7.150 123.56 123.56 74.44
Fractional coordinates of all 8 atoms:
Se 0.962 0.038 0.500
Ir 0.362 0.130 0.597
Na 0.879 0.601 0.873
Se 0.447 0.714 0.328
Ir 0.870 0.638 0.403
Na 0.399 0.121 0.127
Se 0.286 0.553 0.672
Te 0.795 0.205 0.000

Its theoretical density is 6.62 g/cm3. The calculation puts the energy at -4.5558 eV per atom. The value obtained for the magnetization is 0.01 Bohr magnetons per cell. The symmetry is No. 5.

YTmAlIr2 | PBE-GGA | relaxed

Lattice parameters (Å, degrees): 5.529 5.529 5.529 136.64 116.43 80.09
Fractional coordinates of all 5 atoms:
Tm 0.302 0.802 0.500
Ir 0.740 0.500 0.240
Ir 0.260 0.500 0.760
Al 0.000 0.000 0.000
Y 0.698 0.198 0.500

Its theoretical density is 11.03 g/cm3. The calculation puts the energy at -7.4317 eV per atom. The value obtained for the magnetization is 0.00 Bohr magnetons per cell. The symmetry is No. 44.

MgNb2Zn | PBE-GGA | relaxed

Lattice parameters (Å, degrees): 4.649 4.649 4.649 60.00 60.00 60.00
Each line ends with the local moment (μB).
Fractional coordinates of all 4 atoms:
Mg 0.250 0.250 0.250  0.00
Nb 0.000 0.000 0.000  0.34
Nb 0.750 0.750 0.750  0.17
Zn 0.500 0.500 0.500  0.01

Its theoretical density is 6.44 g/cm3. The calculation puts the energy at -5.4109 eV per atom. The value obtained for the magnetization is 0.64 Bohr magnetons per cell. The symmetry is No. 216.

DyTc2 | PBE-GGA | relaxed

Lattice parameters (Å, degrees): 5.370 5.370 8.854 90.00 90.00 120.00
Fractional coordinates of all 12 atoms:
Dy 0.333 0.667 0.937
Tc 0.658 0.829 0.250
Dy 0.667 0.333 0.437
Dy 0.667 0.333 0.063
Tc 0.829 0.171 0.750
Tc 0.829 0.658 0.750
Tc 0.000 0.000 0.000
Tc 0.171 0.829 0.250
Tc 0.000 0.000 0.500
Tc 0.342 0.171 0.750
Dy 0.333 0.667 0.563
Tc 0.171 0.342 0.250

Its theoretical density is 10.77 g/cm3. The value obtained for the relative energy among the computed polymorphs is 0 meV per atom. The value obtained for the magnetization is 0.04 Bohr magnetons per cell. The symmetry is No. 194.

ZrBe2As | PBE-GGA | relaxed

Lattice parameters (Å, degrees): 4.408 4.408 4.408 60.00 60.00 60.00
Each line ends with the local moment (μB).
Fractional coordinates of all 4 atoms:
Be 0.000 0.000 0.000  0.01
Be 0.750 0.750 0.750  0.01
As 0.500 0.500 0.500  0.02
Zr 0.250 0.250 0.250  0.08

Its theoretical density is 5.05 g/cm3. The calculation puts the energy at -4.8624 eV per atom. The value obtained for the magnetization is 0.18 Bohr magnetons per cell. The symmetry is No. 216.

Ag7Pb2 | PBE-GGA | relaxed

Lattice parameters (Å, degrees): 3.096 3.096 30.857 90.00 90.00 120.00
Fractional coordinates of all 9 atoms:
Ag 0.333 0.667 0.500
Pb 0.667 0.333 0.196
Ag 0.667 0.333 0.427
Ag 0.667 0.333 0.647
Ag 0.000 0.000 0.573
Ag 0.000 0.000 0.353
Ag 0.333 0.667 0.280
Ag 0.333 0.667 0.720
Pb 0.000 0.000 0.804

Its theoretical density is 7.58 g/cm3. The calculation puts the energy at -2.8866 eV per atom. The symmetry is No. 164.

SrSiNiGe2 | PBE-GGA | relaxed

Lattice parameters (Å, degrees): 5.799 5.799 5.799 136.03 136.03 63.93
Fractional coordinates of all 5 atoms:
Sr 0.599 0.599 0.000
Ge 0.350 0.850 0.500
Si 0.007 0.007 0.000
Ni 0.239 0.239 0.000
Ge 0.850 0.350 0.500

Its theoretical density is 5.73 g/cm3. The calculation puts the energy at -4.8325 eV per atom. The value obtained for the magnetization is 0.00 Bohr magnetons per cell. The symmetry is No. 107.

CsNa2HoF6 | PBE-GGA | relaxed

Lattice parameters (Å, degrees): 6.742 6.742 6.742 60.00 60.00 60.00
Fractional coordinates of all 10 atoms:
F 0.723 0.723 0.277
Ho 0.500 0.500 0.500
F 0.723 0.277 0.723
F 0.277 0.723 0.277
Na 0.250 0.250 0.250
Na 0.750 0.750 0.750
F 0.723 0.277 0.277
Cs 0.000 0.000 0.000
F 0.277 0.723 0.723
F 0.277 0.277 0.723

Its theoretical density is 3.51 g/cm3. The calculation puts the energy at -4.9095 eV per atom. The value obtained for the magnetization is 0.00 Bohr magnetons per cell. The symmetry is No. 225.

Dy2Cu | PBE-GGA | relaxed

Lattice parameters (Å, degrees): 6.063 6.063 6.063 60.00 60.00 60.00
Fractional coordinates of all 6 atoms:
Cu 0.000 0.000 0.000
Cu 0.250 0.250 0.250
Dy 0.625 0.125 0.625
Dy 0.625 0.625 0.125
Dy 0.625 0.625 0.625
Dy 0.125 0.625 0.625

Its theoretical density is 8.19 g/cm3. The calculation puts the energy at -3.5648 eV per atom. The value obtained for the magnetization is 0.01 Bohr magnetons per cell. The symmetry is No. 227.

Nd2RePt6 | PBE-GGA | relaxed

Lattice parameters (Å, degrees): 7.908 7.908 3.199 90.00 90.00 120.00
Fractional coordinates of all 9 atoms:
Nd 0.667 0.333 0.500
Pt 0.000 0.261 0.500
Pt 0.739 0.739 0.500
Pt 0.261 0.000 0.500
Pt 0.000 0.658 0.000
Re 0.000 0.000 0.000
Pt 0.658 0.000 0.000
Pt 0.342 0.342 0.000
Nd 0.333 0.667 0.500

Its theoretical density is 15.77 g/cm3. The value obtained for the relative energy among the computed polymorphs is 0 meV per atom. The value obtained for the magnetization is 0.01 Bohr magnetons per cell. The symmetry is No. 189.

PuMgFe | PBE-GGA | relaxed

Lattice parameters (Å, degrees): 4.401 4.401 4.401 60.00 60.00 60.00
Each line ends with the local moment (μB).
Fractional coordinates of all 3 atoms:
Mg 0.750 0.750 0.750  0.00
Fe 0.250 0.250 0.250  -0.08
Pu 0.000 0.000 0.000  0.14

Its theoretical density is 8.93 g/cm3. The calculation puts the energy at -6.1338 eV per atom. The value obtained for the magnetization is 0.22 Bohr magnetons per cell. The symmetry is No. 216.

DyLu2Fe9 | PBE-GGA | relaxed

Lattice parameters (Å, degrees): 8.481 8.481 8.481 34.35 34.35 34.35
Each line ends with the local moment (μB).
Fractional coordinates of all 12 atoms:
Fe 0.333 0.333 0.333  2.14
Fe 0.583 0.081 0.583  1.91
Dy 0.000 0.000 0.000  -0.42
Fe 0.667 0.667 0.667  2.14
Fe 0.081 0.583 0.583  1.78
Lu 0.858 0.858 0.858  -0.47
Fe 0.500 0.500 0.500  1.65
Fe 0.417 0.919 0.417  1.91
Fe 0.417 0.417 0.919  1.81
Fe 0.583 0.583 0.081  1.81
Lu 0.142 0.142 0.142  -0.47
Fe 0.919 0.417 0.417  1.78

Its theoretical density is 9.73 g/cm3. The calculation puts the energy at -7.4895 eV per atom. The value obtained for the magnetization is 15.48 Bohr magnetons per cell. The symmetry is No. 166.

Re2TcIr2 | PBE-GGA | relaxed

Lattice parameters (Å, degrees): 3.692 3.692 6.530 106.42 106.42 90.00
Each line ends with the local moment (μB).
Fractional coordinates of all 5 atoms:
Re 0.750 0.250 0.500  -0.06
Ir 0.600 0.600 0.201  -0.03
Tc 0.000 0.000 0.000  0.77
Re 0.250 0.750 0.500  -0.06
Ir 0.400 0.400 0.799  -0.03

Its theoretical density is 17.39 g/cm3. The calculation puts the energy at -10.0091 eV per atom. The value obtained for the magnetization is 0.64 Bohr magnetons per cell. The symmetry is No. 139.

NdPuW | PBE-GGA | relaxed

Lattice parameters (Å, degrees): 4.656 4.656 4.656 60.00 60.00 60.00
Each line ends with the local moment (μB).
Fractional coordinates of all 3 atoms:
Nd 0.000 0.000 0.000  0.30
Pu 0.250 0.250 0.250  5.12
W 0.500 0.500 0.500  -0.34

Its theoretical density is 13.31 g/cm3. The value obtained for the relative energy among the computed polymorphs is 0 meV per atom. The value obtained for the magnetization is 5.15 Bohr magnetons per cell. The symmetry is No. 216.

BaTaN2O | PBE-GGA | relaxed

Lattice parameters (Å, degrees): 5.898 5.898 7.166 90.00 90.00 120.00
Each line ends with the local moment (μB).
Fractional coordinates of all 15 atoms:
N 0.339 0.838 0.002  0.12
N 0.838 0.339 0.998  0.11
N 0.661 0.498 0.664  0.12
N 0.498 0.661 0.336  0.12
Ba 0.328 0.328 0.000  0.00
Ba 0.000 0.672 0.333  0.00
N 0.162 0.502 0.669  0.11
Ta 0.343 0.343 0.500  -0.04
Ta 0.657 0.000 0.167  -0.04
O 0.000 0.161 0.333  0.02
Ta 0.000 0.657 0.833  -0.04
O 0.161 0.000 0.667  0.02
O 0.839 0.839 0.000  0.03
Ba 0.672 0.000 0.667  0.00
N 0.502 0.162 0.331  0.13

Its theoretical density is 8.36 g/cm3. The calculation puts the energy at -8.5196 eV per atom. The value obtained for the magnetization is 1.05 Bohr magnetons per cell. The symmetry is No. 154.